VASP calculation (PBE-GGA) on crystalline Co3HPb at its relaxed geometry.

a = 4.9941 Å, b = 4.9941 Å, c = 4.9941 Å
α = 90.00°, β = 90.00°, γ = 90.00°
Space group Pm-3m (No. 221)
Asymmetric unit:
Co  0.0000  0.0000  0.5000 (multiplicity 3)
H  0.5000  0.5000  0.5000 (multiplicity 1)
Pb  0.0000  0.0000  0.0000 (multiplicity 1)

Summary:
**Density of states at the Fermi level**: 12.56 states/eV/cell
**Offset from the most stable computed form**: 1843 meV/atom
**Electronic total energy**: -3.5578 eV/atom